[1]
DFT (PBE-GGA) results for a geometry-optimized Mg3GaSn2 structure.

Output
volume: 22.618 Å³/atom
total magnetic moment: 0.00 Bohr magnetons per cell
ΔH_f (0 K): -102.8 meV/atom
polymorph energy (0 for the lowest one): 14.5 meV per atom

a = 6.228 Å, b = 5.689 Å, c = 8.296 Å
α = 94.67°, β = 112.05°, γ = 90.00°
Positions (direct):
Sn (0.203, 0.397, 0.675)
Mg (0.963, 0.916, 0.675)
Mg (0.037, 0.084, 0.325)
Sn (0.797, 0.603, 0.325)
Mg (0.712, 0.416, 0.675)
Mg (0.288, 0.584, 0.325)
Mg (0.627, 0.250, 0.000)
Sn (0.528, 0.103, 0.325)
Mg (0.373, 0.750, 0.000)
Sn (0.472, 0.897, 0.675)
Ga (0.895, 0.750, 0.000)
Ga (0.105, 0.250, 0.000)

[2]
DFT (PBE-GGA) results for a geometry-optimized DySb2SO4 structure.

Output
volume: 15.106 Å³/atom
total magnetic moment: 0.00 Bohr magnetons per cell
VASP energy: -50.98 eV/cell

a = 3.735 Å, b = 3.735 Å, c = 8.665 Å
α = 90.00°, β = 90.00°, γ = 90.00°
Positions (direct):
S (0.000, 0.000, 0.500)
O (0.500, 0.000, 0.836)
O (0.500, 0.000, 0.164)
O (0.000, 0.500, 0.836)
Sb (0.500, 0.500, 0.291)
Sb (0.500, 0.500, 0.709)
O (0.000, 0.500, 0.164)
Dy (0.000, 0.000, 0.000)

[3]
DFT (PBE-GGA) results for a geometry-optimized Re2Si6Ru structure.

Output
volume: 14.685 Å³/atom
total magnetic moment: 0.00 Bohr magnetons per cell
VASP energy: -68.02 eV/cell

a = 3.180 Å, b = 6.652 Å, c = 7.254 Å
α = 117.29°, β = 102.68°, γ = 90.00°
Positions (direct):
Si (0.834, 0.622, 0.667)
Si (0.500, 0.714, 0.000)
Ru (0.000, 0.000, 0.000)
Re (0.665, 0.666, 0.331)
Si (0.166, 0.378, 0.333)
Si (0.500, 0.286, 0.000)
Si (0.166, 0.955, 0.333)
Re (0.335, 0.334, 0.669)
Si (0.834, 0.045, 0.667)

[4]
DFT (PBE-GGA) results for a geometry-optimized Hg3TeSe structure.

Output
volume: 35.554 Å³/atom
total magnetic moment: 0.00 Bohr magnetons per cell
polymorph energy (0 for the lowest one): 474.8 meV per atom

a = 5.623 Å, b = 5.623 Å, c = 5.623 Å
α = 90.00°, β = 90.00°, γ = 90.00°
Positions (direct):
Hg (0.000, 0.000, 0.500)
Hg (0.000, 0.500, 0.000)
Te (0.000, 0.000, 0.000)
Se (0.500, 0.500, 0.500)
Hg (0.500, 0.000, 0.000)